1.
5
Lattice="5.7357 0.0000 0.0000 0.0000 5.7357 0.0000 0.0000 0.0000 5.6509" Properties=species:S:1:pos:R:3 comment="YTlPPb2 (SCAN, PBEsol geometry)" formation_energy_ev_per_atom=0.935 dos_ef_per_ev_fu=6.015 pbc="T T T"
Y 0.0000 0.0000 0.0000
Tl 0.0000 0.0000 2.8255
P 2.8679 2.8679 2.8255
Pb 0.0000 2.8679 0.0000
Pb 2.8679 0.0000 0.0000



2.
4
Lattice="3.2226 0.0000 0.0000 0.0000 3.2226 0.0000 0.0000 0.0000 6.5969" Properties=species:S:1:pos:R:3 comment="PPbW2 (SCAN, PBEsol geometry)" formation_energy_ev_per_atom=0.353 dos_ef_per_ev_fu=2.614 pbc="T T T"
P 0.0000 0.0000 0.0000
Pb 1.6113 1.6113 2.1528
W 0.0000 0.0000 4.0197
W 1.6113 1.6113 5.6954



3.
12
Lattice="3.3974 0.0000 0.0000 0.0000 4.8908 0.0000 0.0000 0.0000 14.5783" Properties=species:S:1:pos:R:3 comment="PPbW (SCAN, PBEsol geometry)" formation_energy_ev_per_atom=0.567 dos_ef_per_ev_fu=1.639 pbc="T T T"
P 0.0000 0.0000 0.0000
P 0.0000 2.4454 7.2891
P 1.6987 0.0000 7.2891
P 1.6987 2.4454 0.0000
Pb 0.0000 0.0000 10.4093
Pb 0.0000 2.4454 3.1202
Pb 1.6987 0.0000 3.1202
Pb 1.6987 2.4454 10.4093
W 0.0000 0.0000 5.6321
W 0.0000 2.4454 12.9212
W 1.6987 0.0000 12.9212
W 1.6987 2.4454 5.6321



4.
4
Lattice="3.1046 0.0000 0.0000 0.0000 3.1046 0.0000 0.0000 0.0000 6.9494" Properties=species:S:1:pos:R:3 comment="PPbW2 (SCAN, PBEsol geometry)" formation_energy_ev_per_atom=0.555 dos_ef_per_ev_fu=2.911 pbc="T T T"
P 0.0000 0.0000 0.0000
Pb 0.0000 0.0000 3.4747
W 1.5523 1.5523 1.2924
W 1.5523 1.5523 5.6570



5.
8
Lattice="3.9673 0.0000 0.0000 0.0000 5.6469 0.0000 0.0000 0.0000 9.0566" Properties=species:S:1:pos:R:3 comment="YPPb2 (SCAN, PBEsol geometry)" formation_energy_ev_per_atom=0.129 dos_ef_per_ev_fu=3.214 pbc="T T T"
Y 0.0000 0.0000 0.0000
Y 1.9836 2.8235 0.0000
P 0.0000 0.0000 4.5283
P 1.9836 2.8235 4.5283
Pb 0.0000 2.8235 2.5235
Pb 0.0000 2.8235 6.5331
Pb 1.9836 0.0000 2.5235
Pb 1.9836 0.0000 6.5331



6.
8
Lattice="4.6041 0.0000 0.0000 0.0000 4.6041 0.0000 0.0000 0.0000 9.0958" Properties=species:S:1:pos:R:3 comment="YPPb2 (SCAN, PBEsol geometry)" formation_energy_ev_per_atom=-0.287 dos_ef_per_ev_fu=1.841 pbc="T T T"
Y 0.0000 0.0000 0.0000
Y 2.3020 2.3020 4.5479
P 0.0000 2.3020 2.2739
P 2.3020 0.0000 6.8218
Pb 0.0000 0.0000 4.5479
Pb 0.0000 2.3020 6.8218
Pb 2.3020 0.0000 2.2739
Pb 2.3020 2.3020 0.0000



7.
6
Lattice="3.7875 0.0000 0.0000 0.0000 3.7875 0.0000 0.0000 0.0000 11.0164" Properties=species:S:1:pos:R:3 comment="YPPb (SCAN, PBEsol geometry)" formation_energy_ev_per_atom=-0.824 dos_ef_per_ev_fu=0.783 pbc="T T T"
Y 0.0000 0.0000 0.0000
Y 1.8938 1.8938 5.5082
P 0.0000 0.0000 5.0246
P 1.8938 1.8938 10.5328
Pb 0.0000 0.0000 7.7474
Pb 1.8938 1.8938 2.2392



8.
8
Lattice="15.5523 0.0000 0.0000 0.0000 3.8620 0.0000 -0.9025 0.0000 3.6627" Properties=species:S:1:pos:R:3 comment="YPPb2 (SCAN, PBEsol geometry)" formation_energy_ev_per_atom=-0.566 dos_ef_per_ev_fu=1.424 pbc="T T T"
Y 0.0000 0.0000 0.0000
Y 7.7762 1.9310 0.0000
P -0.4512 1.9310 1.8313
P 7.3249 0.0000 1.8313
Pb 2.2699 0.0000 2.5119
Pb 4.6038 1.9310 1.1508
Pb 10.0461 1.9310 2.5119
Pb 12.3800 0.0000 1.1508



9.
4
Lattice="3.9846 0.0000 0.0000 0.0000 3.9846 0.0000 0.0000 0.0000 5.7779" Properties=species:S:1:pos:R:3 comment="YP2Pb (SCAN, PBEsol geometry)" formation_energy_ev_per_atom=-0.746 dos_ef_per_ev_fu=1.101 pbc="T T T"
Y 0.0000 0.0000 0.0000
P 0.0000 0.0000 2.8890
P 1.9923 1.9923 0.0000
Pb 1.9923 1.9923 2.8890



10.
20
Lattice="7.9676 0.0000 0.0000 0.0000 10.2541 0.0000 0.0000 0.0000 6.4614" Properties=species:S:1:pos:R:3 comment="Y3PPb (SCAN, PBEsol geometry)" formation_energy_ev_per_atom=-1.144 dos_ef_per_ev_fu=2.448 pbc="T T T"
Y 0.2823 2.5635 0.7991
Y 1.4620 0.5609 4.2094
Y 1.4620 4.5662 4.2094
Y 2.5218 5.6879 0.9787
Y 2.5218 9.6932 0.9787
Y 3.7015 7.6905 4.0298
Y 4.2661 2.5635 2.4316
Y 5.4458 0.5609 5.4827
Y 5.4458 4.5662 5.4827
Y 6.5055 5.6879 2.2520
Y 6.5055 9.6932 2.2520
Y 7.6853 7.6905 5.6623
P 0.0000 0.0000 0.0000
P 0.0000 5.1270 0.0000
P 3.9838 0.0000 3.2307
P 3.9838 5.1270 3.2307
Pb 0.8749 7.6905 2.7617
Pb 3.1089 2.5635 5.9924
Pb 4.8587 7.6905 0.4689
Pb 7.0926 2.5635 3.6996



11.
4
Lattice="4.2931 0.0000 0.0000 0.0000 4.2931 0.0000 0.0000 0.0000 5.2737" Properties=species:S:1:pos:R:3 comment="YPPb2 (SCAN, PBEsol geometry)" formation_energy_ev_per_atom=-0.380 dos_ef_per_ev_fu=2.269 pbc="T T T"
Y 0.0000 0.0000 0.0000
P 2.1466 2.1466 0.0000
Pb 0.0000 2.1466 2.6369
Pb 2.1466 0.0000 2.6369



12.
16
Lattice="6.6800 0.0000 0.0000 0.0000 6.6800 0.0000 0.0000 0.0000 6.6800" Properties=species:S:1:pos:R:3 comment="ZnP2Pb (SCAN, PBEsol geometry)" formation_energy_ev_per_atom=0.694 dos_ef_per_ev_fu=1.799 pbc="T T T"
Zn 0.0000 0.0000 0.0000
Zn 0.0000 3.3400 3.3400
Zn 3.3400 0.0000 3.3400
Zn 3.3400 3.3400 0.0000
P 0.0000 0.0000 3.3400
P 0.0000 3.3400 0.0000
P 1.6700 1.6700 1.6700
P 1.6700 5.0100 5.0100
P 3.3400 0.0000 0.0000
P 3.3400 3.3400 3.3400
P 5.0100 1.6700 5.0100
P 5.0100 5.0100 1.6700
Pb 1.6700 1.6700 5.0100
Pb 1.6700 5.0100 1.6700
Pb 5.0100 1.6700 1.6700
Pb 5.0100 5.0100 5.0100



13.
64
Lattice="13.6459 0.0000 0.0000 0.0000 9.6687 0.0000 0.0000 0.0000 10.7209" Properties=species:S:1:pos:R:3 comment="ZnP14Pb (SCAN, PBEsol geometry)" formation_energy_ev_per_atom=0.028 pbc="T T T"
Zn 1.1780 2.4172 1.3842
Zn 5.6450 7.2516 6.7447
Zn 8.0009 2.4172 3.9762
Zn 12.4679 7.2516 9.3366
P 0.6805 0.6883 9.1056
P 0.6805 4.1461 9.1056
P 0.7046 0.8089 4.4590
P 0.7046 4.0255 4.4590
P 0.8950 2.4172 7.7653
P 0.9628 7.2516 4.1967
P 1.1012 7.2516 8.8757
P 1.2653 5.5478 7.4826
P 1.2653 8.9553 7.4826
P 1.4585 5.0491 1.3825
P 1.4585 9.4541 1.3825
P 1.8976 2.4172 3.5786
P 2.0599 5.4751 3.4693
P 2.0599 9.0280 3.4693
P 4.7630 0.6407 8.8298
P 4.7630 4.1937 8.8298
P 4.9254 7.2516 8.9391
P 5.3644 0.2147 6.7429
P 5.3644 4.6197 6.7429
P 5.5576 0.7134 2.1221
P 5.5576 4.1210 2.1221
P 5.7217 2.4172 3.5153
P 5.8602 2.4172 9.5571
P 5.9280 7.2516 2.4048
P 6.1183 5.6433 9.8195
P 6.1183 8.8598 9.8195
P 6.1424 5.5227 3.7452
P 6.1424 8.9804 3.7452
P 7.5034 0.6883 6.9757
P 7.5034 4.1461 6.9757
P 7.5276 0.8089 0.9014
P 7.5276 4.0255 0.9014
P 7.7179 2.4172 8.3160
P 7.7857 7.2516 1.1637
P 7.9242 7.2516 7.2056
P 8.0883 5.5478 8.5987
P 8.0883 8.9553 8.5987
P 8.2815 5.0491 3.9779
P 8.2815 9.4541 3.9779
P 8.7205 2.4172 1.7818
P 8.8828 5.4751 1.8911
P 8.8828 9.0280 1.8911
P 11.5860 0.6407 7.2515
P 11.5860 4.1937 7.2515
P 11.7483 7.2516 7.1422
P 12.1873 0.2147 9.3384
P 12.1873 4.6197 9.3384
P 12.3805 0.7134 3.2383
P 12.3805 4.1210 3.2383
P 12.5446 2.4172 1.8452
P 12.6831 2.4172 6.5242
P 12.7509 7.2516 2.9556
P 12.9412 5.6433 6.2618
P 12.9412 8.8598 6.2618
P 12.9654 5.5227 1.6152
P 12.9654 8.9804 1.6152
Pb 2.9524 7.2516 0.3442
Pb 3.8705 2.4172 5.7047
Pb 9.7753 7.2516 5.0162
Pb 10.6935 2.4172 10.3766